Version one
# MgH6Pd3, optimized geometry, DFT PBE
# volume: 84.76 Å³/f.u.
# magnetization: 0.00 μB per formula unit
data_MgH6Pd3
_space_group_name_H-M_alt 'P 1 21/m 1'
_space_group_IT_number 11
_space_group_name_Hall '-P 2yb'
_cell_length_a 7.293
_cell_length_b 3.217
_cell_length_c 7.481
_cell_angle_alpha 90.00
_cell_angle_beta 105.02
_cell_angle_gamma 90.00
loop_
_atom_site_label
_atom_site_type_symbol
_atom_site_fract_x
_atom_site_fract_y
_atom_site_fract_z
Mg1 Mg 0.210 0.250 0.097
H1 H 0.079 0.250 0.458
H2 H 0.115 0.750 0.857
H3 H 0.209 0.750 0.262
H4 H 0.273 0.250 0.716
H5 H 0.451 0.750 0.099
H6 H 0.469 0.750 0.611
Pd1 Pd 0.018 0.250 0.708
Pd2 Pd 0.329 0.250 0.499
Pd3 Pd 0.378 0.750 0.856

***

Version two
# MgH6Pd3, optimized geometry, DFT PBE
# volume: 89.53 Å³/f.u.
# magnetization: 0.00 μB per formula unit
data_MgH6Pd3
_space_group_name_H-M_alt 'P 1'
_space_group_IT_number 1
_space_group_name_Hall 'P 1'
_cell_length_a 4.870
_cell_length_b 4.906
_cell_length_c 4.934
_cell_angle_alpha 70.96
_cell_angle_beta 61.24
_cell_angle_gamma 60.76
loop_
_atom_site_label
_atom_site_type_symbol
_atom_site_fract_x
_atom_site_fract_y
_atom_site_fract_z
Mg1 Mg 0.000 0.000 0.000
H1 H 0.117 0.910 0.551
H2 H 0.387 0.540 0.088
H3 H 0.394 0.296 0.558
H4 H 0.533 0.997 0.042
H5 H 0.752 0.560 0.554
H6 H 0.963 0.420 0.085
Pd1 Pd 0.182 0.279 0.338
Pd2 Pd 0.532 0.621 0.302
Pd3 Pd 0.702 0.918 0.641

***

Most stable = version two

***

Version one
# MgHPd2Rh, optimized geometry, DFT PBE
# volume: 63.86 Å³/f.u.
# magnetization: 0.00 μB per formula unit
data_MgHPd2Rh
_space_group_name_H-M_alt 'P 4/m m m'
_space_group_IT_number 123
_space_group_name_Hall '-P 4 2'
_cell_length_a 4.059
_cell_length_b 4.059
_cell_length_c 3.876
_cell_angle_alpha 90.00
_cell_angle_beta 90.00
_cell_angle_gamma 90.00
loop_
_atom_site_label
_atom_site_type_symbol
_atom_site_fract_x
_atom_site_fract_y
_atom_site_fract_z
Mg1 Mg 0.000 0.000 0.000
H1 H 0.500 0.500 0.500
Pd1 Pd 0.000 0.500 0.500
Rh1 Rh 0.500 0.500 0.000

***

Version two
# MgHPd2Rh, optimized geometry, DFT PBE
# volume: 63.66 Å³/f.u.
# magnetization: 0.00 μB per formula unit
data_MgHPd2Rh
_space_group_name_H-M_alt 'P 4/m m m'
_space_group_IT_number 123
_space_group_name_Hall '-P 4 2'
_cell_length_a 3.905
_cell_length_b 3.905
_cell_length_c 4.176
_cell_angle_alpha 90.00
_cell_angle_beta 90.00
_cell_angle_gamma 90.00
loop_
_atom_site_label
_atom_site_type_symbol
_atom_site_fract_x
_atom_site_fract_y
_atom_site_fract_z
Mg1 Mg 0.000 0.000 0.000
H1 H 0.000 0.000 0.500
Pd1 Pd 0.000 0.500 0.500
Rh1 Rh 0.500 0.500 0.000

***

Most stable = version one

***

Version one
# Y2MgHPd, optimized geometry, DFT PBE
# volume: 95.63 Å³/f.u.
# magnetization: 0.00 μB per formula unit
data_Y2MgHPd
_space_group_name_H-M_alt 'P 4/m m m'
_space_group_IT_number 123
_space_group_name_Hall '-P 4 2'
_cell_length_a 4.831
_cell_length_b 4.831
_cell_length_c 4.097
_cell_angle_alpha 90.00
_cell_angle_beta 90.00
_cell_angle_gamma 90.00
loop_
_atom_site_label
_atom_site_type_symbol
_atom_site_fract_x
_atom_site_fract_y
_atom_site_fract_z
Y1 Y 0.000 0.500 0.000
Mg1 Mg 0.000 0.000 0.500
H1 H 0.000 0.000 0.000
Pd1 Pd 0.500 0.500 0.500

***

Version two
# Y2MgHPd, optimized geometry, DFT PBE
# volume: 97.88 Å³/f.u.
# magnetization: 0.00 μB per formula unit
data_Y2MgHPd
_space_group_name_H-M_alt 'P 4/m m m'
_space_group_IT_number 123
_space_group_name_Hall '-P 4 2'
_cell_length_a 5.090
_cell_length_b 5.090
_cell_length_c 3.778
_cell_angle_alpha 90.00
_cell_angle_beta 90.00
_cell_angle_gamma 90.00
loop_
_atom_site_label
_atom_site_type_symbol
_atom_site_fract_x
_atom_site_fract_y
_atom_site_fract_z
Y1 Y 0.000 0.500 0.000
Mg1 Mg 0.000 0.000 0.500
H1 H 0.500 0.500 0.000
Pd1 Pd 0.500 0.500 0.500

***

Most stable = version two

***

Version one
# MgZnHPd2, optimized geometry, DFT PBE
# volume: 64.14 Å³/f.u.
# magnetization: 0.00 μB per formula unit
data_MgZnHPd2
_space_group_name_H-M_alt 'P 4/m m m'
_space_group_IT_number 123
_space_group_name_Hall '-P 4 2'
_cell_length_a 4.058
_cell_length_b 4.058
_cell_length_c 3.896
_cell_angle_alpha 90.00
_cell_angle_beta 90.00
_cell_angle_gamma 90.00
loop_
_atom_site_label
_atom_site_type_symbol
_atom_site_fract_x
_atom_site_fract_y
_atom_site_fract_z
Mg1 Mg 0.000 0.000 0.000
Zn1 Zn 0.500 0.500 0.000
H1 H 0.500 0.500 0.500
Pd1 Pd 0.000 0.500 0.500

***

Version two
# MgZnHPd2, optimized geometry, DFT PBE
# volume: 63.93 Å³/f.u.
# magnetization: 0.00 μB per formula unit
data_MgZnHPd2
_space_group_name_H-M_alt 'P 4/m m m'
_space_group_IT_number 123
_space_group_name_Hall '-P 4 2'
_cell_length_a 4.010
_cell_length_b 4.010
_cell_length_c 3.976
_cell_angle_alpha 90.00
_cell_angle_beta 90.00
_cell_angle_gamma 90.00
loop_
_atom_site_label
_atom_site_type_symbol
_atom_site_fract_x
_atom_site_fract_y
_atom_site_fract_z
Mg1 Mg 0.000 0.000 0.000
Zn1 Zn 0.500 0.500 0.000
H1 H 0.000 0.000 0.500
Pd1 Pd 0.000 0.500 0.500

***

Most stable = version two

***

Version one
# Mg2ZnHPd, optimized geometry, DFT PBE
# volume: 70.97 Å³/f.u.
# magnetization: 0.00 μB per formula unit
data_Mg2ZnHPd
_space_group_name_H-M_alt 'P 4/m m m'
_space_group_IT_number 123
_space_group_name_Hall '-P 4 2'
_cell_length_a 4.448
_cell_length_b 4.448
_cell_length_c 3.587
_cell_angle_alpha 90.00
_cell_angle_beta 90.00
_cell_angle_gamma 90.00
loop_
_atom_site_label
_atom_site_type_symbol
_atom_site_fract_x
_atom_site_fract_y
_atom_site_fract_z
Mg1 Mg 0.000 0.500 0.000
Zn1 Zn 0.000 0.000 0.500
H1 H 0.500 0.500 0.000
Pd1 Pd 0.500 0.500 0.500

***

Version two
# Mg2ZnHPd, optimized geometry, DFT PBE
# volume: 68.99 Å³/f.u.
# magnetization: 0.00 μB per formula unit
data_Mg2ZnHPd
_space_group_name_H-M_alt 'P 4/m m m'
_space_group_IT_number 123
_space_group_name_Hall '-P 4 2'
_cell_length_a 4.264
_cell_length_b 4.264
_cell_length_c 3.795
_cell_angle_alpha 90.00
_cell_angle_beta 90.00
_cell_angle_gamma 90.00
loop_
_atom_site_label
_atom_site_type_symbol
_atom_site_fract_x
_atom_site_fract_y
_atom_site_fract_z
Mg1 Mg 0.000 0.500 0.000
Zn1 Zn 0.000 0.000 0.500
H1 H 0.000 0.000 0.000
Pd1 Pd 0.500 0.500 0.500

***

Most stable = version one

***

Version one
# MgZr2HPd, optimized geometry, DFT PBE
# volume: 80.78 Å³/f.u.
# magnetization: 0.00 μB per formula unit
data_MgZr2HPd
_space_group_name_H-M_alt 'P 4/m m m'
_space_group_IT_number 123
_space_group_name_Hall '-P 4 2'
_cell_length_a 4.260
_cell_length_b 4.260
_cell_length_c 4.451
_cell_angle_alpha 90.00
_cell_angle_beta 90.00
_cell_angle_gamma 90.00
loop_
_atom_site_label
_atom_site_type_symbol
_atom_site_fract_x
_atom_site_fract_y
_atom_site_fract_z
Mg1 Mg 0.000 0.000 0.000
Zr1 Zr 0.000 0.500 0.500
H1 H 0.000 0.000 0.500
Pd1 Pd 0.500 0.500 0.000

***

Version two
# MgZr2HPd, optimized geometry, DFT PBE
# volume: 81.43 Å³/f.u.
# magnetization: 0.00 μB per formula unit
data_MgZr2HPd
_space_group_name_H-M_alt 'P 4/m m m'
_space_group_IT_number 123
_space_group_name_Hall '-P 4 2'
_cell_length_a 4.379
_cell_length_b 4.379
_cell_length_c 4.247
_cell_angle_alpha 90.00
_cell_angle_beta 90.00
_cell_angle_gamma 90.00
loop_
_atom_site_label
_atom_site_type_symbol
_atom_site_fract_x
_atom_site_fract_y
_atom_site_fract_z
Mg1 Mg 0.000 0.000 0.000
Zr1 Zr 0.000 0.500 0.500
H1 H 0.500 0.500 0.500
Pd1 Pd 0.500 0.500 0.000

***

Most stable = version one

***

Version one
# Pm2MgH, optimized geometry, DFT PBE
# volume: 96.16 Å³/f.u.
# magnetization: 0.00 μB per formula unit
data_Pm2MgH
_space_group_name_H-M_alt 'R -3 m'
_space_group_IT_number 166
_space_group_name_Hall '-R 3 2"'
_cell_length_a 3.6428
_cell_length_b 3.6428
_cell_length_c 25.1032
_cell_angle_alpha 90.00
_cell_angle_beta 90.00
_cell_angle_gamma 120.00
loop_
_atom_site_label
_atom_site_type_symbol
_atom_site_fract_x
_atom_site_fract_y
_atom_site_fract_z
Pm1 Pm 0.0000 0.0000 0.2234
Mg1 Mg 0.0000 0.0000 0.0000
H1 H 0.0000 0.0000 0.5000

***

Version two
# Pm2MgH, optimized geometry, DFT PBE
# volume: 90.64 Å³/f.u.
# magnetization: 0.00 μB per formula unit
data_Pm2MgH
_space_group_name_H-M_alt 'P 4/m m m'
_space_group_IT_number 123
_space_group_name_Hall '-P 4 2'
_cell_length_a 3.331
_cell_length_b 3.331
_cell_length_c 8.170
_cell_angle_alpha 90.00
_cell_angle_beta 90.00
_cell_angle_gamma 90.00
loop_
_atom_site_label
_atom_site_type_symbol
_atom_site_fract_x
_atom_site_fract_y
_atom_site_fract_z
Pm1 Pm 0.000 0.000 0.199
Mg1 Mg 0.500 0.500 0.500
H1 H 0.500 0.500 0.000

***

Most stable = version one

***

Version one
# PrMgH, optimized geometry, DFT PBE
# volume: 68.28 Å³/f.u.
# magnetization: 0.00 μB per formula unit
data_PrMgH
_space_group_name_H-M_alt 'I 4 m m'
_space_group_IT_number 107
_space_group_name_Hall 'I 4 -2'
_cell_length_a 3.330
_cell_length_b 3.330
_cell_length_c 12.316
_cell_angle_alpha 90.00
_cell_angle_beta 90.00
_cell_angle_gamma 90.00
loop_
_atom_site_label
_atom_site_type_symbol
_atom_site_fract_x
_atom_site_fract_y
_atom_site_fract_z
Pr1 Pr 0.000 0.000 0.000
Mg1 Mg 0.000 0.000 0.285
H1 H 0.000 0.000 0.529

***

Version two
# PrMgH, optimized geometry, DFT PBE
# volume: 59.38 Å³/f.u.
# magnetization: 0.00 μB per formula unit
data_PrMgH
_space_group_name_H-M_alt 'P 4/n m m'
_space_group_IT_number 129
_cell_length_a 3.521
_cell_length_b 3.521
_cell_length_c 9.577
_cell_angle_alpha 90.00
_cell_angle_beta 90.00
_cell_angle_gamma 90.00
loop_
_space_group_symop_operation_xyz
'x,y,z'
'-x,-y,-z'
'-y+1/2,x,z'
'y+1/2,-x,-z'
'-x+1/2,-y+1/2,z'
'x+1/2,y+1/2,-z'
'y,-x+1/2,z'
'-y,x+1/2,-z'
'x+1/2,-y,-z'
'-x+1/2,y,z'
'-y,-x,-z'
'y,x,z'
'-x,y+1/2,-z'
'x,-y+1/2,z'
'y+1/2,x+1/2,-z'
'-y+1/2,-x+1/2,z'
loop_
_atom_site_label
_atom_site_type_symbol
_atom_site_fract_x
_atom_site_fract_y
_atom_site_fract_z
Pr1 Pr 0.250 0.250 0.146
Mg1 Mg 0.250 0.250 0.595
H1 H 0.250 0.250 0.888

***

Most stable = version two